This record from the Alexandria database describes a relaxed Tm5Cu4Ag crystal. The functional is PBE.

* spin magnetization: 0.00 Bohr magnetons per cell
* energy relative to the elements: -3.0 eV per formula unit
* final energy: -4.460 eV/atom

Cell lengths 3.424, 3.424, 17.548 Å; angles 90.00, 90.00, 90.00 degrees
Space group P4/mmm (No. 123)
Asymmetric unit:
Tm (0.000, 0.000, 0.000) (multiplicity 1)
Tm (0.000, 0.000, 0.196) (multiplicity 2)
Tm (0.000, 0.000, 0.391) (multiplicity 2)
Cu (0.500, 0.500, 0.098) (multiplicity 2)
Cu (0.500, 0.500, 0.294) (multiplicity 2)
Ag (0.500, 0.500, 0.500) (multiplicity 1)